# 1
DFT (PBE) results for an optimized crystal structure of Tb2Ga2Co.

Properties
E_tot	-50.1	eV per cell
symmetry	C2/m (12)
energy of formation	-0.525	eV/atom
magnetization	0.000	μB/atom

Cell: 5.7863 5.7863 10.4007 Å, 115.60 115.60 42.05°
Atoms (fractional coordinates):
1 Tb 0.0080 0.0080 0.3341
2 Tb 0.1912 0.1912 0.1190
3 Tb 0.8088 0.8088 0.8810
4 Tb 0.9920 0.9920 0.6659
5 Ga 0.3440 0.3440 0.4392
6 Ga 0.4860 0.4860 0.1200
7 Ga 0.5140 0.5140 0.8800
8 Ga 0.6560 0.6560 0.5608
9 Co 0.2802 0.2802 0.6428
10 Co 0.7198 0.7198 0.3572


# 2
DFT (PBE) results for an optimized crystal structure of Ce5SnPb3.

Properties
E_tot	-98.1	eV per cell
symmetry	P6_3/mcm (193)
energy of formation	-0.473	eV/atom
magnetization	0.584	μB/atom

Cell: 9.7121 9.7121 6.5720 Å, 90.00 90.00 120.00°
Atoms (fractional coordinates):
1 Ce 0.0000 0.2767 0.2500
2 Ce 0.0000 0.7233 0.7500
3 Ce 0.2767 0.0000 0.2500
4 Ce 0.2767 0.2767 0.7500
5 Ce 0.3333 0.6667 0.0000
6 Ce 0.3333 0.6667 0.5000
7 Ce 0.6667 0.3333 0.0000
8 Ce 0.6667 0.3333 0.5000
9 Ce 0.7233 0.0000 0.7500
10 Ce 0.7233 0.7233 0.2500
11 Sn 0.0000 0.0000 0.0000
12 Sn 0.0000 0.0000 0.5000
13 Pb 0.0000 0.3777 0.7500
14 Pb 0.0000 0.6223 0.2500
15 Pb 0.3777 0.0000 0.7500
16 Pb 0.3777 0.3777 0.2500
17 Pb 0.6223 0.0000 0.2500
18 Pb 0.6223 0.6223 0.7500